Here is a geometry-optimized Li2Ni3BiO8 structure from Alexandria. Energies are from PBE with a Hubbard U.

Properties
Its density of states at the Fermi level is 0.550 states/eV/f.u. Its total energy is -5.000 eV per atom. The value obtained for the magnetization is 3.0 μB/f.u.

abc: 8.4802 8.4802 8.4802
angles: 90.00 90.00 90.00
Last column: nearest neighbours and their distance in Å.
Atoms (fractional coordinates):
O 0.8629 0.8629 0.8629  3 Ni 1.96, 1 Li 2.02
Ni 0.8750 0.8832 0.6332  6 O 1.94-2.07
Ni 0.1332 0.6250 0.1168  6 O 1.94-2.07
Li 0.9997 0.5003 0.4997  4 O 2.01-2.02
O 0.1129 0.6129 0.8871  3 Ni 1.96, 1 Li 2.02
Ni 0.1250 0.3832 0.8668  6 O 1.94-2.07
O 0.8457 0.3676 0.3772  2 Ni 1.94-2.07, 1 Li 2.01, 1 Bi 2.15
O 0.3676 0.3772 0.8457  2 Ni 1.94-2.07, 1 Li 2.01, 1 Bi 2.15
O 0.8772 0.6543 0.6324  2 Ni 1.94-2.07, 1 Li 2.01, 1 Bi 2.15
O 0.6324 0.8772 0.6543  2 Ni 1.94-2.07, 1 Li 2.01, 1 Bi 2.15
O 0.3629 0.6371 0.1371  3 Ni 1.96, 1 Li 2.02
Ni 0.3832 0.8668 0.1250  6 O 1.94-2.07
O 0.6371 0.1371 0.3629  3 Ni 1.96, 1 Li 2.02
Li 0.0003 0.0003 0.0003  4 O 2.01-2.02
Li 0.7503 0.7497 0.2503  4 O 2.01-2.02
Ni 0.8832 0.6332 0.8750  6 O 1.94-2.07
O 0.3871 0.3871 0.3871  3 Ni 1.96, 1 Li 2.02
Ni 0.6168 0.3668 0.3750  6 O 1.94-2.07
Ni 0.3750 0.6168 0.3668  6 O 1.94-2.07
O 0.0957 0.1272 0.3824  2 Ni 1.94-2.07, 1 Li 2.01, 1 Bi 2.15
O 0.1228 0.1543 0.8676  2 Ni 1.94-2.07, 1 Li 2.01, 1 Bi 2.15
O 0.3457 0.1324 0.6228  2 Ni 1.94-2.07, 1 Li 2.01, 1 Bi 2.15
Bi 0.6250 0.6250 0.6250  6 O 2.15
O 0.1272 0.3824 0.0957  2 Ni 1.94-2.07, 1 Li 2.01, 1 Bi 2.15
Li 0.4997 0.9997 0.5003  4 O 2.01-2.02
O 0.6176 0.5957 0.3728  2 Ni 1.94-2.07, 1 Li 2.01, 1 Bi 2.15
O 0.8676 0.1228 0.1543  2 Ni 1.94-2.07, 1 Li 2.01, 1 Bi 2.15
O 0.6543 0.6324 0.8772  2 Ni 1.94-2.07, 1 Li 2.01, 1 Bi 2.15
Ni 0.6250 0.1168 0.1332  6 O 1.94-2.07
O 0.1324 0.6228 0.3457  2 Ni 1.94-2.07, 1 Li 2.01, 1 Bi 2.15
O 0.8728 0.8824 0.4043  2 Ni 1.94-2.07, 1 Li 2.01, 1 Bi 2.15
O 0.8824 0.4043 0.8728  2 Ni 1.94-2.07, 1 Li 2.01, 1 Bi 2.15
O 0.6228 0.3457 0.1324  2 Ni 1.94-2.07, 1 Li 2.01, 1 Bi 2.15
O 0.4043 0.8728 0.8824  2 Ni 1.94-2.07, 1 Li 2.01, 1 Bi 2.15
Li 0.7497 0.2503 0.7503  4 O 2.01-2.02
O 0.3824 0.0957 0.1272  2 Ni 1.94-2.07, 1 Li 2.01, 1 Bi 2.15
O 0.6129 0.8871 0.1129  3 Ni 1.96, 1 Li 2.02
Bi 0.3750 0.1250 0.8750  6 O 2.15
O 0.9043 0.6272 0.1176  2 Ni 1.94-2.07, 1 Li 2.01, 1 Bi 2.15
O 0.3772 0.8457 0.3676  2 Ni 1.94-2.07, 1 Li 2.01, 1 Bi 2.15
O 0.6272 0.1176 0.9043  2 Ni 1.94-2.07, 1 Li 2.01, 1 Bi 2.15
O 0.1371 0.3629 0.6371  3 Ni 1.96, 1 Li 2.02
Li 0.2503 0.7503 0.7497  4 O 2.01-2.02
O 0.3728 0.6176 0.5957  2 Ni 1.94-2.07, 1 Li 2.01, 1 Bi 2.15
Ni 0.3668 0.3750 0.6168  6 O 1.94-2.07
Ni 0.1168 0.1332 0.6250  6 O 1.94-2.07
Bi 0.1250 0.8750 0.3750  6 O 2.15
Ni 0.6332 0.8750 0.8832  6 O 1.94-2.07
Bi 0.8750 0.3750 0.1250  6 O 2.15
Li 0.2497 0.2497 0.2497  4 O 2.01-2.02
O 0.1176 0.9043 0.6272  2 Ni 1.94-2.07, 1 Li 2.01, 1 Bi 2.15
O 0.1543 0.8676 0.1228  2 Ni 1.94-2.07, 1 Li 2.01, 1 Bi 2.15
Li 0.5003 0.4997 0.9997  4 O 2.01-2.02
O 0.5957 0.3728 0.6176  2 Ni 1.94-2.07, 1 Li 2.01, 1 Bi 2.15
O 0.8871 0.1129 0.6129  3 Ni 1.96, 1 Li 2.02
Ni 0.8668 0.1250 0.3832  6 O 1.94-2.07